DFT (PBE) results for an optimized crystal structure of HfZr2Cd.

Values from the calculation:
The magnetic moment comes out at 0.0 μB per cell. The formation energy comes out at -101 meV per atom.

Cell and atoms, written as CIF:
```
data_HfZr2Cd
_chemical_formula_sum 'Hf1 Zr2 Cd1'
_cell_length_a 3.159
_cell_length_b 3.159
_cell_length_c 8.976
_cell_angle_alpha 90.00
_cell_angle_beta 90.00
_cell_angle_gamma 90.00
_symmetry_space_group_name_H-M 'P 4/m m m'
_symmetry_Int_Tables_number 123
_symmetry_space_group_name_Hall '-P 4 2'
loop_
_atom_site_label
_atom_site_type_symbol
_atom_site_fract_x
_atom_site_fract_y
_atom_site_fract_z
_atom_site_occupancy
Hf1 Hf 0.000 0.000 0.000 1
Zr1 Zr 0.500 0.500 0.247 1
Cd1 Cd 0.000 0.000 0.500 1
```